First-principles (PBE-GGA) data for an optimized crystal structure of BPd2Au, as listed in Alexandria via LeMat-Bulk.

Final energy ... -62.86 eV for the cell shown

Lattice parameters (Å, degrees): 3.0926 3.0926 20.7770 90.00 90.00 120.00
Space group R-3m (No. 166, hexagonal axes)
Asymmetric unit:
B: 0.0000 0.0000 0.0000 x3
Pd: 0.0000 0.0000 0.2767 x6
Au: 0.0000 0.0000 0.5000 x3